Na2CuP2O7 GGA-PBE optimized geometry; total magnetization = 3.995 μB per cell; relative energy among the computed polymorphs = 8.0 meV per atom; space group = P2_1/c
1.0
13.7250 0.0000 0.0000
0.0000 5.1350 -0.0197
0.0000 4.6351 8.9592
Na Cu P O
8 4 8 28
direct
0.6124 0.0783 0.6325
0.7084 0.4186 0.8451
0.7916 0.4186 0.3451
0.3876 0.9217 0.3675
0.8876 0.0783 0.1325
0.2084 0.5814 0.6549
0.2916 0.5814 0.1549
0.1124 0.9217 0.8675
0.8468 0.0595 0.7379
0.6532 0.0595 0.2379
0.3468 0.9405 0.7621
0.1532 0.9405 0.2621
0.3241 0.2734 0.9550
0.1759 0.2734 0.4550
0.9645 0.5224 0.7740
0.6759 0.7266 0.0450
0.0355 0.4776 0.2260
0.8241 0.7266 0.5450
0.4645 0.4776 0.7260
0.5355 0.5224 0.2740
0.2768 0.1496 0.8558
0.7192 0.4203 0.0840
0.6810 0.9318 0.8802
0.0678 0.4175 0.7895
0.4499 0.2359 0.6762
0.2232 0.1496 0.3558
0.5501 0.7641 0.3238
0.7808 0.4203 0.5840
0.0501 0.2359 0.1762
0.7232 0.8504 0.1442
0.8871 0.2752 0.8504
0.6129 0.2752 0.3504
0.3871 0.7248 0.6496
0.3190 0.0682 0.1198
0.2192 0.5797 0.4160
0.4381 0.3275 0.9053
0.0619 0.3275 0.4053
0.8190 0.9318 0.3802
0.1129 0.7248 0.1496
0.7768 0.8504 0.6442
0.9381 0.6725 0.5947
0.9499 0.7641 0.8238
0.1810 0.0682 0.6198
0.9322 0.5825 0.2105
0.2808 0.5797 0.9160
0.5619 0.6725 0.0947
0.5678 0.5825 0.7105
0.4322 0.4175 0.2895